a.
# NaLaMnWO6, relaxed, DFT PBE with a Hubbard U
# V (Å³/atom): 13.18
# Magnetic moment (μB per formula unit): 5.0
data_NaLaMnWO6
_symmetry_space_group_name_H-M 'P 1'
_symmetry_Int_Tables_number 1
_cell_length_a 5.7117
_cell_length_b 5.7117
_cell_length_c 5.7117
_cell_angle_alpha 60.00
_cell_angle_beta 60.00
_cell_angle_gamma 60.00
loop_
_symmetry_equiv_pos_as_xyz
'x,y,z'
loop_
_atom_site_label
_atom_site_fract_x
_atom_site_fract_y
_atom_site_fract_z
_atom_site_occupancy
Na1 0.7500 0.7500 0.7500 1
La1 0.2500 0.2500 0.2500 1
Mn1 0.0000 0.0000 0.0000 1
W1 0.5000 0.5000 0.5000 1
O1 0.2603 0.7397 0.2603 1
O2 0.7397 0.2603 0.7397 1
O3 0.2603 0.7397 0.7397 1
O4 0.7397 0.2603 0.2603 1
O5 0.2603 0.2603 0.7397 1
O6 0.7397 0.7397 0.2603 1

***

b.
# NaLaMnWO6, relaxed, DFT PBE with a Hubbard U
# V (Å³/atom): 13.05
# Magnetic moment (μB per formula unit): 5.0
data_NaLaMnWO6
_symmetry_space_group_name_H-M 'P 1'
_symmetry_Int_Tables_number 1
_cell_length_a 5.7104
_cell_length_b 5.6321
_cell_length_c 8.1129
_cell_angle_alpha 89.83
_cell_angle_beta 90.00
_cell_angle_gamma 90.00
loop_
_symmetry_equiv_pos_as_xyz
'x,y,z'
loop_
_atom_site_label
_atom_site_fract_x
_atom_site_fract_y
_atom_site_fract_z
_atom_site_occupancy
Na1 0.2217 0.2524 0.5003 1
Na2 0.7217 0.7476 0.4997 1
La1 0.2881 0.2420 0.0004 1
La2 0.7881 0.7580 0.9996 1
Mn1 0.2500 0.7500 0.7374 1
Mn2 0.7500 0.2500 0.2626 1
W1 0.2441 0.7450 0.2612 1
W2 0.7441 0.2550 0.7388 1
O1 0.7744 0.1664 0.5183 1
O2 0.2744 0.8336 0.4817 1
O3 0.7203 0.3361 0.9899 1
O4 0.2203 0.6639 0.0101 1
O5 0.4540 0.4273 0.7168 1
O6 0.9540 0.5727 0.2832 1
O7 0.4278 0.4629 0.2772 1
O8 0.9278 0.5371 0.7228 1
O9 0.5112 0.9491 0.1917 1
O10 0.0112 0.0509 0.8083 1
O11 0.0419 0.0220 0.1938 1
O12 0.5419 0.9780 0.8062 1

***

Going by the computed energies, the most stable comes first: b, a.